Entry from Alexandria via LeMat-Bulk: SrTlP2O8 after structural relaxation (PBE-GGA).

## Properties
Spin magnetization, μB per formula unit: 1.10
Symmetry: P-3

Unit cell a=5.1724 b=5.1724 c=7.5756 alpha=90.00 beta=90.00 gamma=120.00
With the nearest neighbours (Å) after each atom.
Positions (direct):
Sr1 0.0000 0.0000 0.0000  12 O 2.79-3.00
Tl1 0.0000 0.0000 0.5000  6 O 2.24
P1 0.3333 0.6667 0.7600  4 O 1.55
P2 0.6667 0.3333 0.2400  4 O 1.55
O1 0.0867 0.3510 0.7027  1 P 1.55
O2 0.2643 0.9133 0.7027  1 P 1.55
O3 0.3333 0.6667 0.9652  1 P 1.55
O4 0.3510 0.2643 0.2973  1 P 1.55
O5 0.6490 0.7357 0.7027  1 P 1.55
O6 0.6667 0.3333 0.0348  1 P 1.55
O7 0.7357 0.0867 0.2973  1 P 1.55
O8 0.9133 0.6490 0.2973  1 P 1.55

***

Entry from Alexandria via LeMat-Bulk: SrTl2P4O12 after structural relaxation (PBE-GGA).

## Properties
Spin magnetization, μB per formula unit: 0.00
Symmetry: I-4

Unit cell a=7.5483 b=7.5483 c=7.5483 alpha=118.37 beta=118.37 gamma=92.85
With the nearest neighbours (Å) after each atom.
Positions (direct):
Sr1 0.0000 0.0000 0.0000  8 O 2.59-2.71
Tl1 0.0800 0.5800 0.5000  8 O 2.91-3.14
Tl2 0.4200 0.9200 0.5000  8 O 2.91-3.14
P1 0.5624 0.4325 0.5522  4 O 1.50-1.64
P2 0.5675 0.1197 0.1299  4 O 1.50-1.64
P3 0.8803 0.0102 0.4478  4 O 1.50-1.64
P4 0.9898 0.4376 0.8701  4 O 1.50-1.64
O1 0.0061 0.2703 0.6447  2 P 1.63-1.64
O2 0.0689 0.3844 0.0554  1 P 1.50
O3 0.0901 0.6575 0.9407  1 P 1.50
O4 0.3290 0.0135 0.9446  1 P 1.50
O5 0.3425 0.2832 0.4326  1 P 1.50
O6 0.6156 0.6710 0.6845  1 P 1.50
O7 0.6257 0.3615 0.3553  2 P 1.63-1.64
O8 0.6385 0.9939 0.2642  2 P 1.63-1.64
O9 0.7168 0.1494 0.0593  1 P 1.50
O10 0.7297 0.3743 0.7358  2 P 1.63-1.64
O11 0.8506 0.9099 0.5674  1 P 1.50
O12 0.9865 0.9311 0.3155  1 P 1.50

***

Number 1: energy -6.5031 eV/atom. Number 2: energy -6.7850 eV/atom.